First-principles (GGA-PBE) data for a geometry-optimized ReRu3 structure, as listed in Alexandria.

Unit cell a=3.8489 b=3.8489 c=7.6544 alpha=90.00 beta=90.00 gamma=90.00
With the nearest neighbours (Å) after each atom.
Positions (direct):
Re (0.0000, 0.0000, 0.0000)  12 Ru 2.71-2.72
Re (0.5000, 0.5000, 0.5000)  12 Ru 2.71-2.72
Ru (0.0000, 0.0000, 0.5000)  8 Ru 2.71, 4 Re 2.72
Ru (0.0000, 0.5000, 0.2500)  4 Re 2.71, 8 Ru 2.71-2.72
Ru (0.0000, 0.5000, 0.7500)  4 Re 2.71, 8 Ru 2.71-2.72
Ru (0.5000, 0.0000, 0.2500)  4 Re 2.71, 8 Ru 2.71-2.72
Ru (0.5000, 0.0000, 0.7500)  4 Re 2.71, 8 Ru 2.71-2.72
Ru (0.5000, 0.5000, 0.0000)  8 Ru 2.71, 4 Re 2.72

- energy of formation (kcal/mol of atoms) = 1.191
- E_tot (eV/f.u.) = -40.07
- polymorph energy (0 for the lowest one) (meV per atom) = 138.3
- ρ (g cm⁻³) = 14.33
- DOS at the Fermi energy (states/eV/f.u.) = 4.3